1.
KCa2Au at its PBEsol-relaxed geometry, computed with SCAN.

Lattice parameters (Å, degrees): 4.2666 4.2666 10.5300 78.31 78.31 60.00
With the nearest neighbours (Å) after each atom.
Sites, in units of the cell vectors:
Ca (0.2826, 0.2826, 0.1522)  3 Au 2.91
Ca (0.7174, 0.7174, 0.8478)  3 Au 2.91
K (0.5000, 0.5000, 0.5000)  6 K 4.27, 6 Ca 4.33
Au (0.0000, 0.0000, 0.0000)  6 Ca 2.91

ΔE_f ... -466 meV per atom
Energy above the most stable polymorph in this dataset ... 0.000 eV per atom
Energy ... -98.68 eV per cell

=====

2.
CuTcCl2 at its PBEsol-relaxed geometry, computed with SCAN.

Lattice parameters (Å, degrees): 3.3492 3.3636 7.2594 103.40 103.34 90.00
With the nearest neighbours (Å) after each atom.
Sites, in units of the cell vectors:
Cl (0.0024, 0.0024, 0.0049)  4 Cu 2.45
Cl (0.7655, 0.2655, 0.5311)  4 Tc 2.62
Cu (0.5480, 0.5480, 0.0959)  4 Cl 2.45, 2 Tc 2.51
Tc (0.1840, 0.6840, 0.3681)  2 Cu 2.51, 4 Cl 2.62

Energy relative to the elements, uncorrected ... 0.1984 eV/atom
Energy above the most stable polymorph in this dataset ... 0.270 eV per atom
Energy ... -65.42 eV per cell

=====

3.
Ba2TaTlCo at its PBEsol-relaxed geometry, computed with SCAN.

Lattice parameters (Å, degrees): 4.4684 5.9831 5.9831 90.00 90.00 90.00
With the nearest neighbours (Å) after each atom.
Sites, in units of the cell vectors:
Ba (0.0000, 0.0000, 0.5000)  2 Co 2.99
Tl (0.5000, 0.5000, 0.5000)  8 Ba 3.73
Co (0.0000, 0.0000, 0.0000)  2 Ta 2.23
Ta (0.5000, 0.0000, 0.0000)  2 Co 2.23
Ba (0.0000, 0.5000, 0.0000)  2 Co 2.99

ΔE_f ... 585 meV per atom
Energy ... -232.42 eV per cell

=====

4.
Sr2SbW at its PBEsol-relaxed geometry, computed with SCAN.

Lattice parameters (Å, degrees): 3.3812 3.3812 10.8155 81.01 81.01 60.00
With the nearest neighbours (Å) after each atom.
Sites, in units of the cell vectors:
Sr (0.2467, 0.2467, 0.2598)  3 W 3.22, 6 Sr 3.38, 3 Sb 3.38
W (0.5000, 0.5000, 0.5000)  6 Sr 3.22, 6 W 3.38
Sr (0.7533, 0.7533, 0.7402)  3 W 3.22, 6 Sr 3.38, 3 Sb 3.38
Sb (0.0000, 0.0000, 0.0000)  6 Sb 3.38, 6 Sr 3.38

Energy relative to the elements, uncorrected ... 0.8190 eV/atom
Energy ... -148.22 eV per cell

=====

Please write out number 1 again, unchanged.
KCa2Au at its PBEsol-relaxed geometry, computed with SCAN.

Lattice parameters (Å, degrees): 4.2666 4.2666 10.5300 78.31 78.31 60.00
With the nearest neighbours (Å) after each atom.
Sites, in units of the cell vectors:
Ca (0.2826, 0.2826, 0.1522)  3 Au 2.91
Ca (0.7174, 0.7174, 0.8478)  3 Au 2.91
K (0.5000, 0.5000, 0.5000)  6 K 4.27, 6 Ca 4.33
Au (0.0000, 0.0000, 0.0000)  6 Ca 2.91

ΔE_f ... -466 meV per atom
Energy above the most stable polymorph in this dataset ... 0.000 eV per atom
Energy ... -98.68 eV per cell

=====

Q: energy of number 1 (KCa2Au)?
A: -98.68 eV per cell

=====

Q: Which of these has the lowest energy?
A: Ba2TaTlCo

=====

Q: What is the energy in the fourth record?
A: -148.22 eV per cell